1:
DFT (PBE-GGA) results for a relaxed Nd4Y3Sc crystal.

## Properties
As for the total magnetic moment: 0.00 Bohr magnetons per cell. The density comes out at 5.5 g cm⁻³.

Cell lengths 25.1300, 3.4509, 6.1576 Å; angles 90.00, 94.93, 90.00 degrees
Last column: nearest neighbours and their distance in Å.
Space group C2/m (No. 12)
One atom of each set of equivalent atoms:
Nd 0.1020 0.0000 0.2275 [4 per cell]  3 Y 3.18-3.24, 2 Sc 3.30, 4 Nd 3.42-3.45
Nd 0.2199 0.5000 0.2387 [4 per cell]  6 Nd 3.42-3.83, 1 Y 3.47
Y 0.0000 0.0000 0.5000 [2 per cell]  2 Nd 3.18, 2 Y 3.45, 4 Sc 3.53
Y 0.1417 0.0000 0.7412 [4 per cell]  3 Nd 3.23-3.47, 2 Y 3.45
Sc 0.0000 0.5000 0.0000 [2 per cell]  4 Nd 3.30, 2 Sc 3.45, 4 Y 3.53

2:
DFT (PBE-GGA) results for a relaxed Nd4Y3Sc crystal.

## Properties
As for the total magnetic moment: 0.00 Bohr magnetons per cell. The density comes out at 5.6 g cm⁻³.

Cell lengths 24.0657, 3.6124, 6.2346 Å; angles 90.00, 104.89, 90.00 degrees
Last column: nearest neighbours and their distance in Å.
Space group C2/m (No. 12)
One atom of each set of equivalent atoms:
Nd 0.1217 0.0000 0.4579 [4 per cell]  2 Sc 3.51, 4 Y 3.53-3.65, 6 Nd 3.59-3.62
Nd 0.1239 0.5000 0.9567 [4 per cell]  1 Sc 3.55, 5 Y 3.55-3.61, 6 Nd 3.59-3.62
Y 0.0000 0.0000 0.0000 [2 per cell]  6 Nd 3.53-3.55, 4 Sc 3.60, 2 Y 3.61
Y 0.2504 0.0000 0.2505 [4 per cell]  6 Nd 3.58-3.65, 6 Y 3.60-3.61
Sc 0.0000 0.5000 0.5000 [2 per cell]  6 Nd 3.51-3.55, 4 Y 3.60, 2 Sc 3.61

Which structure wins on stability? 2 wins.

1:
DFT (PBE-GGA) results for a relaxed Nd3Y4Sc crystal.

## Properties
As for the total magnetic moment: 0.00 Bohr magnetons per cell. The density comes out at 5.3 g cm⁻³.

Cell lengths 11.4034, 7.3025, 6.2806 Å; angles 90.00, 90.00, 90.00 degrees
Last column: nearest neighbours and their distance in Å.
Space group Pmn2_1 (No. 31)
One atom of each set of equivalent atoms:
Nd 0.0000 0.1249 0.0000 [2 per cell]  4 Nd 3.52-3.54, 6 Y 3.59-3.65, 2 Sc 3.63-3.67
Nd 0.2503 0.1217 0.3280 [4 per cell]  4 Nd 3.52-3.61, 2 Sc 3.53-3.55, 6 Y 3.55-3.69
Y 0.0000 0.3732 0.4996 [2 per cell]  6 Y 3.49-3.66, 4 Nd 3.56-3.63, 2 Sc 3.63-3.67
Y 0.0000 0.6248 0.9947 [2 per cell]  6 Y 3.52-3.66, 4 Nd 3.55-3.65, 2 Sc 3.61-3.63
Y 0.2445 0.6253 0.3372 [4 per cell]  1 Sc 3.46, 6 Y 3.49-3.64, 5 Nd 3.59-3.69
Sc 0.0000 0.8709 0.4960 [2 per cell]  6 Y 3.46-3.67, 6 Nd 3.53-3.67

2:
DFT (PBE-GGA) results for a relaxed Nd3Y4Sc crystal.

## Properties
As for the total magnetic moment: 0.00 Bohr magnetons per cell. The density comes out at 5.3 g cm⁻³.

Cell lengths 3.4889, 11.6759, 12.9124 Å; angles 90.00, 90.00, 90.00 degrees
Last column: nearest neighbours and their distance in Å.
Space group Immm (No. 71)
One atom of each set of equivalent atoms:
Nd 0.0000 0.0000 0.0000 [2 per cell]  6 Nd 3.49-3.79, 8 Y 3.87
Nd 0.0000 0.5000 0.2398 [4 per cell]  6 Y 3.42-3.60, 4 Nd 3.49-3.79, 2 Sc 3.55
Y 0.0000 0.2429 0.3669 [8 per cell]  1 Sc 3.32, 3 Nd 3.42-3.60, 5 Y 3.44-3.49
Sc 0.0000 0.0000 0.5000 [2 per cell]  4 Y 3.32, 2 Sc 3.49, 4 Nd 3.55

Which structure wins on stability? 1 wins.

1:
DFT (PBE-GGA) results for a relaxed Nd6Y2Sc crystal.

## Properties
As for the total magnetic moment: 0.00 Bohr magnetons per cell. The density comes out at 6.0 g cm⁻³.

Cell lengths 10.1530, 7.2643, 8.5760 Å; angles 90.00, 106.80, 90.00 degrees
Last column: nearest neighbours and their distance in Å.
Space group C2/m (No. 12)
One atom of each set of equivalent atoms:
Nd 0.0568 0.2388 0.2101 [8 per cell]  1 Sc 3.31, 3 Y 3.38-3.65, 5 Nd 3.39-3.68
Nd 0.1695 0.0000 0.5897 [4 per cell]  7 Nd 3.34-3.68, 1 Sc 3.65, 1 Y 3.72
Y 0.2242 0.5000 0.9575 [4 per cell]  7 Nd 3.38-3.72, 2 Y 3.71
Sc 0.0000 0.5000 0.5000 [2 per cell]  6 Nd 3.31-3.65

2:
DFT (PBE-GGA) results for a relaxed Nd6Y2Sc crystal.

## Properties
As for the total magnetic moment: 0.00 Bohr magnetons per cell. The density comes out at 6.0 g cm⁻³.

Cell lengths 9.2069, 17.8939, 3.6933 Å; angles 90.00, 99.57, 90.00 degrees
Last column: nearest neighbours and their distance in Å.
Space group C2/m (No. 12)
One atom of each set of equivalent atoms:
Nd 0.1661 0.1716 0.3116 [8 per cell]  7 Nd 3.39-3.69, 3 Y 3.47-3.66
Nd 0.1831 0.0000 0.8238 [4 per cell]  2 Sc 3.33-3.51, 6 Nd 3.58-3.69
Y 0.0000 0.3467 0.0000 [4 per cell]  2 Sc 3.31, 6 Nd 3.47-3.66, 2 Y 3.69
Sc 0.0000 0.5000 0.5000 [2 per cell]  4 Y 3.31, 4 Nd 3.33-3.51, 2 Sc 3.69

Which structure wins on stability? 2 wins.